An optimized crystal structure of Ti3Cr2SbP6O24. Source: Alexandria via LeMat-Bulk, functional GGA+U.

abc: 8.7389 8.7389 21.6325
angles: 90.00 90.00 120.00
With the nearest neighbours (Å) after each atom.
Space group R3 (No. 146, hexagonal axes)
Unique sites:
1 Ti 0.0000 0.0000 0.0000 x3  6 O 1.88-2.00
2 Ti 0.0000 0.0000 0.2070 x3  6 O 1.94-2.09
3 Ti 0.0000 0.0000 0.7084 x3  6 O 1.94-2.06
4 Cr 0.0000 0.0000 0.3515 x3  6 O 2.23-2.27
5 Cr 0.0000 0.0000 0.8557 x3  6 O 2.34-2.42
6 Sb 0.0000 0.0000 0.4995 x3  6 O 2.15-2.39
7 P 0.0328 0.3632 0.2724 x9  4 O 1.53-1.56
8 P 0.0517 0.6782 0.7678 x9  4 O 1.53-1.56
9 O 0.0117 0.1828 0.9417 x9  1 P 1.56
10 O 0.0187 0.8371 0.7729 x9  1 P 1.56
11 O 0.0196 0.2299 0.5438 x9  1 P 1.53
12 O 0.0315 0.1843 0.2749 x9  1 P 1.56
13 O 0.1436 0.6714 0.8286 x9  1 P 1.56
14 O 0.1487 0.4774 0.3271 x9  1 P 1.55
15 O 0.1616 0.7050 0.0884 x9  1 P 1.55
16 O 0.1770 0.7102 0.7134 x9  1 P 1.53

The density of states at the Fermi level is 0.460 states/eV per atom. Its calculated total energy is -0.281 hartree per atom.